1.
Pa3Ga12Ni | PBE-GGA | relaxed

Results
space-group type: P4/mmm (123)
formation enthalpy at 0 K: -4.8 eV/f.u.
crystal system: tetragonal
size of the total moment: 0.0 μB/cell

POSCAR file:
```
Pa3Ga12Ni
1.0
4.290 0.000 0.000
0.000 4.290 0.000
0.000 0.000 16.199
Pa Ga Ni
3 12 1
Direct
0.000 0.000 0.233 Pa
0.000 0.000 0.500 Pa
0.000 0.000 0.767 Pa
0.500 0.500 0.000 Ga
0.500 0.500 0.242 Ga
0.500 0.500 0.500 Ga
0.500 0.500 0.758 Ga
0.500 0.000 0.100 Ga
0.500 0.000 0.367 Ga
0.500 0.000 0.633 Ga
0.500 0.000 0.900 Ga
0.000 0.500 0.100 Ga
0.000 0.500 0.367 Ga
0.000 0.500 0.633 Ga
0.000 0.500 0.900 Ga
0.000 0.000 0.000 Ni
```


2.
PaGa8Ni4 | PBE-GGA | relaxed

Results
space-group type: I4/mmm (139)
formation enthalpy at 0 K: -4.6 eV/f.u.
crystal system: tetragonal
size of the total moment: 0.0 μB/cell

POSCAR file:
```
PaGa8Ni4
1.0
-3.447 3.614 -1.202
-6.184 -2.383 -0.408
-2.568 2.980 5.349
Pa Ga Ni
1 8 4
Direct
0.000 0.000 0.000 Pa
0.000 0.345 0.655 Ga
0.000 0.655 0.345 Ga
0.345 0.655 0.655 Ga
0.655 0.345 0.345 Ga
0.500 0.780 0.220 Ga
0.500 0.220 0.780 Ga
0.280 0.220 0.220 Ga
0.720 0.780 0.780 Ga
0.000 0.000 0.500 Ni
0.500 0.000 0.500 Ni
0.000 0.500 0.000 Ni
0.500 0.500 0.000 Ni
```